# 1
Below is a relaxed structure of Co2TcPt, with properties calculated at the PBE level.

ΔE to the lowest computed polymorph = 19 meV/atom
Total energy = -7.65 eV/atom
Formation enthalpy at 0 K = 0.01 eV per atom
Total moment = 2.317 μB per formula unit

```
Co2TcPt
1.0
2.659 0.000 0.000
0.000 3.735 0.000
0.000 0.000 5.228
Co Tc Pt
2 1 1
Direct
0.000 0.000 0.000
0.500 0.500 0.225
0.500 0.500 0.766
0.000 0.000 0.489
```


# 2
Below is a relaxed structure of InHg6Pb, with properties calculated at the PBE level.

ΔE to the lowest computed polymorph = 21 meV/atom
Total energy = -1.00 eV/atom
Formation enthalpy at 0 K = 0.03 eV per atom
Total moment = 0.000 μB per formula unit

```
InHg6Pb
1.0
4.999 0.000 0.000
0.000 7.100 0.000
0.000 0.000 12.198
In Hg Pb
2 12 2
Direct
0.000 0.000 0.000
0.000 0.500 0.500
0.000 0.000 0.442
0.000 0.218 0.719
0.000 0.282 0.219
0.000 0.500 0.942
0.000 0.718 0.219
0.000 0.782 0.719
0.500 0.000 0.828
0.500 0.222 0.545
0.500 0.278 0.045
0.500 0.500 0.328
0.500 0.722 0.045
0.500 0.778 0.545
0.500 0.000 0.268
0.500 0.500 0.768
```


# 3
Below is a relaxed structure of MgB2H6O7, with properties calculated at the PBE level.

Total energy = -6.08 eV/atom
Total moment = 0.000 μB per formula unit

```
MgB2H6O7
1.0
7.663 0.000 0.000
0.000 7.663 0.000
0.000 0.000 8.242
Mg B H O
4 8 24 28
Direct
0.000 0.000 0.000
0.000 0.500 0.500
0.500 0.000 0.500
0.500 0.500 0.000
0.130 0.862 0.356
0.138 0.630 0.856
0.362 0.870 0.856
0.370 0.638 0.356
0.630 0.362 0.644
0.638 0.130 0.144
0.862 0.370 0.144
0.870 0.138 0.644
0.061 0.377 0.793
0.112 0.351 0.060
0.116 0.787 0.598
0.123 0.061 0.707
0.149 0.112 0.440
0.213 0.616 0.098
0.287 0.884 0.098
0.351 0.388 0.440
0.377 0.439 0.707
0.384 0.713 0.598
0.388 0.149 0.060
0.439 0.123 0.793
0.561 0.877 0.207
0.612 0.851 0.940
0.616 0.287 0.402
0.623 0.561 0.293
0.649 0.612 0.560
0.713 0.116 0.902
0.787 0.384 0.902
0.851 0.888 0.560
0.877 0.939 0.293
0.884 0.213 0.402
0.888 0.649 0.940
0.939 0.623 0.207
0.014 0.095 0.760
0.015 0.271 0.085
0.044 0.769 0.498
0.095 0.486 0.740
0.229 0.015 0.415
0.231 0.544 0.998
0.250 0.750 0.267
0.250 0.750 0.767
0.269 0.956 0.998
0.271 0.485 0.415
0.405 0.014 0.740
0.456 0.731 0.498
0.485 0.229 0.085
0.486 0.405 0.760
0.514 0.595 0.240
0.515 0.771 0.915
0.544 0.269 0.502
0.595 0.986 0.260
0.729 0.515 0.585
0.731 0.044 0.002
0.750 0.250 0.233
0.750 0.250 0.733
0.769 0.456 0.002
0.771 0.985 0.585
0.905 0.514 0.260
0.956 0.231 0.502
0.985 0.729 0.915
0.986 0.905 0.240
```


# 4
Below is a relaxed structure of Li3Hf3Se8, with properties calculated at the PBE level.

Total energy = -5.75 eV/atom
Total moment = 0.000 μB per formula unit
ΔE_f (raw) = -1214.4 meV/atom

```
Li3Hf3Se8
1.0
3.864 2.231 6.653
-3.864 2.231 6.653
0.000 -4.462 6.653
Li Hf Se
3 3 8
Direct
0.000 0.000 0.000
0.376 0.376 0.376
0.624 0.624 0.624
0.000 0.000 0.500
0.000 0.500 0.000
0.500 0.000 0.000
0.226 0.752 0.752
0.245 0.245 0.245
0.248 0.248 0.774
0.248 0.774 0.248
0.752 0.226 0.752
0.752 0.752 0.226
0.755 0.755 0.755
0.774 0.248 0.248
```